This record from the Alexandria database describes a PBEsol-optimized structure of Ba8In. The functional is meta-GGA SCAN.

Values from the calculation:
For the total energy, the calculation gives -2.8628 Ry per atom. Its total magnetization is 0.15 μB/cell. The volume is 470.6 Å³/f.u. The energy of formation from the pure elements comes out at -0.09 eV/atom.

abc: 14.303 14.303 4.601
angles: 90.00 90.00 90.00
Space group I4/mmm (No. 139)
Symmetry-distinct sites (fractional):
1 Ba 0.000 0.334 0.000 [8 per cell]
2 Ba 0.143 0.143 0.500 [8 per cell]
3 In 0.000 0.000 0.000 [2 per cell]